Entry 1:
## Hg3HPd4 (PBE)

Data for Hg3HPd4 after structural relaxation.

It has space group Imm2 (No. 44), with a = 5.613 Å, b = 8.775 Å, c = 5.595 Å, α = 90.00°, β = 90.00° and γ = 90.00°. The distinct sites, in fractional coordinates, are Hg at (0.000, 0.000, 0.000), Hg at (0.000, 0.275, 0.705), H at (0.000, 0.500, 0.173), Pd at (0.000, 0.277, 0.219) and Pd at (0.238, 0.000, 0.469).

As for the calculated total energy: -3.22 eV per atom.

Entry 2:
## Ag5S2 (PBE)

Data for Ag5S2 after structural relaxation.

It has space group C2/c (No. 15), with a = 14.198 Å, b = 6.142 Å, c = 6.145 Å, α = 90.00°, β = 94.77° and γ = 90.00°. The distinct sites, in fractional coordinates, are Ag at (0.000, 0.155, 0.250), Ag at (0.101, 0.477, 0.953), Ag at (0.216, 0.171, 0.235) and S at (0.118, 0.179, 0.681).

The calculation puts the formation energy (no corrections) at 0.062 eV per atom.

Entry 3:
## CaHo2TmRh4 (PBE)

Data for CaHo2TmRh4 after structural relaxation.

It has space group R-3m (No. 166, hexagonal axes), with a = 4.8026 Å, b = 4.8026 Å, c = 23.5961 Å, α = 90.00°, β = 90.00° and γ = 120.00°. The distinct sites, in fractional coordinates, are Ca at (0.0000, 0.0000, 0.0000), Ho at (0.0000, 0.0000, 0.2515), Tm at (0.0000, 0.0000, 0.5000), Rh at (0.0000, 0.0000, 0.1279) and Rh at (0.0000, 0.0000, 0.3785).

The energy of formation from the pure elements comes out at -0.80 eV/atom.

Entry 4:
## NbCrGe2 (PBE)

Data for NbCrGe2 after structural relaxation.

It has space group C2/c (No. 15), with a = 5.577 Å, b = 11.042 Å, c = 4.856 Å, α = 90.00°, β = 116.51° and γ = 90.00°. The distinct sites, in fractional coordinates, are Nb at (0.000, 0.089, 0.250), Cr at (0.000, 0.497, 0.250) and Ge at (0.245, 0.348, 0.124).

The energy of formation from the pure elements comes out at 0.06 eV/atom. Its offset from the most stable computed form is 0.000 eV per atom.

Which formula does entry 3 have?
CaHo2TmRh4